# 1
First-principles (GGA-PBEsol) data for an optimized crystal structure of Tm2SeO2, as listed in Alexandria via LeMat-Bulk.

Output
- DOS(E_F): 0.0 states/eV per cell
- M_tot: 0.0 μB per formula unit
- Calculated volume: 16.366 Å³/atom
- E_form (uncorrected): -15.9 eV/f.u.

a = 3.7303 Å, b = 3.7303 Å, c = 11.7618 Å
α = 90.00°, β = 90.00°, γ = 90.00°
Closest atoms and distances in Å follow each position.
Space group I4/mmm (No. 139)
Unique sites:
1 Tm 0.0000 0.0000 0.1566 (multiplicity 4)  4 O 2.16
2 Se 0.0000 0.0000 0.5000 (multiplicity 2)  8 Tm 3.22, 8 O 3.48
3 O 0.0000 0.5000 0.2500 (multiplicity 4)  4 Tm 2.16



# 2
First-principles (GGA-PBEsol) data for an optimized crystal structure of TmSeO3, as listed in Alexandria via LeMat-Bulk.

Output
- DOS(E_F): 0.0 states/eV per cell
- M_tot: 0.0 μB per formula unit
- Calculated volume: 14.602 Å³/atom
- E_form (uncorrected): -10.8 eV/f.u.

a = 5.7956 Å, b = 12.1047 Å, c = 8.6658 Å
α = 90.00°, β = 106.11°, γ = 90.00°
Closest atoms and distances in Å follow each position.
Space group P2_1/c (No. 14)
Unique sites:
1 Tm 0.1355 0.2439 0.1579 (multiplicity 4)  4 O 2.06-2.27
2 Tm 0.2609 0.5620 0.0819 (multiplicity 4)  7 O 2.12-2.36
3 Se 0.1246 0.5185 0.6737 (multiplicity 4)  2 O 1.79-1.81
4 Se 0.4554 0.6557 0.4813 (multiplicity 4)  3 O 1.72-1.75
5 O 0.0617 0.5902 0.2822 (multiplicity 4)  1 Se 1.81
6 O 0.0952 0.0939 0.5836 (multiplicity 4)  3 Tm 2.06-2.20
7 O 0.2483 0.7447 0.9910 (multiplicity 4)  1 Se 1.72
8 O 0.2766 0.2243 0.9252 (multiplicity 4)  1 Se 1.75
9 O 0.3671 0.5174 0.8538 (multiplicity 4)  1 Se 1.79
10 O 0.4847 0.6768 0.2909 (multiplicity 4)  1 Se 1.72



# 3
First-principles (GGA-PBEsol) data for an optimized crystal structure of USeO6, as listed in Alexandria via LeMat-Bulk.

Output
- DOS(E_F): 0.0 states/eV per cell
- M_tot: 0.0 μB per formula unit
- Calculated volume: 15.765 Å³/atom
- E_form (uncorrected): -14.2 eV/f.u.

a = 6.9004 Å, b = 5.6750 Å, c = 13.3111 Å
α = 90.00°, β = 104.58°, γ = 90.00°
Closest atoms and distances in Å follow each position.
Space group P2_1/c (No. 14)
Unique sites:
1 U 0.1625 0.2127 0.3490 (multiplicity 4)  2 O 1.79-1.85
2 Se 0.2964 0.5487 0.6121 (multiplicity 4)  4 O 1.65-1.66
3 O 0.0666 0.0125 0.7785 (multiplicity 4)  1 U 1.85
4 O 0.1540 0.7162 0.1157 (multiplicity 4)  1 Se 1.66
5 O 0.1971 0.1159 0.0095 (multiplicity 4)  1 Se 1.65
6 O 0.2372 0.5630 0.9115 (multiplicity 4)  1 U 1.79
7 O 0.3203 0.1160 0.2176 (multiplicity 4)  1 Se 1.66
8 O 0.4797 0.1382 0.8951 (multiplicity 4)  1 Se 1.65



# 4
First-principles (GGA-PBEsol) data for an optimized crystal structure of V2Se3O11, as listed in Alexandria via LeMat-Bulk.

Output
- DOS(E_F): 0.0 states/eV per cell
- M_tot: 0.0 μB per formula unit
- Calculated volume: 13.504 Å³/atom
- E_form (uncorrected): -22.4 eV/f.u.

a = 14.9297 Å, b = 6.3168 Å, c = 9.1831 Å
α = 90.00°, β = 93.68°, γ = 90.00°
Closest atoms and distances in Å follow each position.
Space group P2_1/c (No. 14)
Unique sites:
1 V 0.0868 0.0167 0.3626 (multiplicity 4)  1 O 1.57
2 V 0.3414 0.5549 0.6502 (multiplicity 4)  1 O 1.60
3 Se 0.1197 0.5078 0.2881 (multiplicity 4)  3 O 1.71-1.76
4 Se 0.3032 0.1352 0.4684 (multiplicity 4)  3 O 1.73-1.75
5 Se 0.4463 0.6394 0.3662 (multiplicity 4)  3 O 1.71-1.77
6 O 0.0408 0.5073 0.1372 (multiplicity 4)  1 Se 1.76, 1 V 1.91
7 O 0.0773 0.1874 0.8956 (multiplicity 4)  1 Se 1.73, 1 V 1.90
8 O 0.0859 0.7159 0.3907 (multiplicity 4)  1 Se 1.71
9 O 0.1095 0.0262 0.1978 (multiplicity 4)  1 V 1.57
10 O 0.1985 0.0190 0.4711 (multiplicity 4)  1 Se 1.73, 1 V 1.89
11 O 0.2735 0.1026 0.0059 (multiplicity 4)  1 Se 1.75, 1 V 1.90
12 O 0.2760 0.7312 0.7088 (multiplicity 4)  1 V 1.60
13 O 0.3151 0.1740 0.2840 (multiplicity 4)  1 Se 1.73
14 O 0.3833 0.7382 0.5051 (multiplicity 4)  1 Se 1.75, 1 V 1.90
15 O 0.4446 0.6168 0.7719 (multiplicity 4)  1 Se 1.77, 1 V 1.89
16 O 0.4464 0.1584 0.0589 (multiplicity 4)  1 Se 1.71